Here is a relaxed structure of NdCoSi3Os from the Alexandria database. Energies are from PBE.

**Energy relative to the elements, uncorrected**: -214 kJ/mol of formula units
**Total energy**: -166.4 eV per cell
**Density**: 7.2 g/cm3
**N(E_F)**: 0.42 states/eV/atom
**Magnetization**: 0.00 μB per formula unit

Geometry as CIF:
```
data_NdCoSi3Os
_chemical_formula_sum 'Nd4 Co4 Si12 Os4'
_space_group_name_H-M_alt 'C m c m'
_space_group_IT_number 63
_space_group_name_Hall '-C 2c 2'
_cell_length_a 7.227
_cell_length_b 11.035
_cell_length_c 5.500
_cell_angle_alpha 90.00
_cell_angle_beta 90.00
_cell_angle_gamma 90.00
loop_
_atom_site_label
_atom_site_type_symbol
_atom_site_fract_x
_atom_site_fract_y
_atom_site_fract_z
Nd1 Nd 0.000 0.249 0.250
Co1 Co 0.000 0.052 0.750
Si1 Si 0.000 0.239 0.750
Si2 Si 0.239 0.000 0.000
Os1 Os 0.000 0.441 0.750
```